Material: ErThPa2As4
Method: DFT, PBE
State: optimized geometry

It has space group P2/m (No. 10), with a = 7.149 Å, b = 4.136 Å, c = 7.163 Å, α = 90.00°, β = 109.51° and γ = 90.00°. Symmetry generates all atoms from Er at (0.000, 0.000, 0.000), Th at (0.000, 0.500, 0.500), Pa at (0.500, 0.000, 0.500), Pa at (0.500, 0.500, 0.000), As at (0.254, 0.500, 0.245) and As at (0.257, 0.000, 0.759).

For the magnetization, the calculation gives 0.00 Bohr magnetons per cell. The calculation puts the density of states at the Fermi level at 1.0178 states/eV per atom. The formation energy from the elements comes out at -119 kJ/mol of atoms. The value obtained for the total energy is -7.4306 eV per atom.